a:
{
  "formula": "BaTcSb2I",
  "functional": "PBE",
  "state": "optimized geometry",
  "magmom_total_mub_per_atom": 0.675,
  "spacegroup": "P4/mmm, No. 123",
  "lattice": [[-2.178, 4.804, -3.788], [-5.635, -3.141, -0.742], [-2.353, 3.003, 5.162]],
  "species": ["Ba", "Sb", "I", "Sb", "Tc"],
  "fractional_positions": [[0.000, 0.000, 0.000], [0.000, 0.500, 0.000], [0.000, 0.000, 0.500], [0.500, 0.000, 0.000], [0.500, 0.500, 0.500]]
}

***

b:
{
  "formula": "BaTcSb2I",
  "functional": "PBE",
  "state": "optimized geometry",
  "magmom_total_mub_per_atom": 0.000,
  "spacegroup": "P4/mmm, No. 123",
  "lattice": [[5.172, 0.000, 0.000], [0.000, 5.172, 0.000], [0.000, 0.000, 6.046]],
  "species": ["Sb", "Ba", "Tc", "I", "Sb"],
  "fractional_positions": [[0.000, 0.500, 0.000], [0.500, 0.500, 0.500], [0.000, 0.000, 0.000], [0.000, 0.000, 0.500], [0.500, 0.000, 0.000]]
}

***

The winner here is b, beating the second structure by 1591 meV/atom.

***

a:
{
  "formula": "BaSbTe2I",
  "functional": "PBE",
  "state": "optimized geometry",
  "magmom_total_mub_per_atom": 0.000,
  "spacegroup": "P4/mmm, No. 123",
  "lattice": [[6.560, 0.000, 0.000], [0.000, 6.560, 0.000], [0.000, 0.000, 6.340]],
  "species": ["Te", "Sb", "Ba", "I", "Te"],
  "fractional_positions": [[0.500, 0.000, 0.000], [0.500, 0.500, 0.500], [0.000, 0.000, 0.000], [0.000, 0.000, 0.500], [0.000, 0.500, 0.000]]
}

***

b:
{
  "formula": "BaSbTe2I",
  "functional": "PBE",
  "state": "optimized geometry",
  "magmom_total_mub_per_atom": 0.000,
  "spacegroup": "P4/mmm, No. 123",
  "lattice": [[5.897, 0.000, 0.000], [0.000, 5.897, 0.000], [0.000, 0.000, 5.870]],
  "species": ["Ba", "I", "Te", "Sb", "Te"],
  "fractional_positions": [[0.500, 0.500, 0.500], [0.000, 0.000, 0.000], [0.000, 0.500, 0.000], [0.000, 0.000, 0.500], [0.500, 0.000, 0.000]]
}

***

The winner here is b, beating the second structure by 335 meV/atom.

***

a:
{
  "formula": "BaTiSbI2",
  "functional": "PBE",
  "state": "optimized geometry",
  "magmom_total_mub_per_atom": 0.200,
  "spacegroup": "P4/mmm, No. 123",
  "lattice": [[-3.569, -2.707, -3.513], [1.890, -5.007, 1.939], [-3.866, 0.048, 3.891]],
  "species": ["Sb", "Ti", "Ba", "I", "I"],
  "fractional_positions": [[0.000, 0.000, 0.500], [0.000, 0.000, 0.000], [0.500, 0.500, 0.500], [0.000, 0.500, 0.000], [0.500, 0.000, 0.000]]
}

***

b:
{
  "formula": "BaTiSbI2",
  "functional": "PBE",
  "state": "optimized geometry",
  "magmom_total_mub_per_atom": 0.198,
  "spacegroup": "P4/mmm, No. 123",
  "lattice": [[-1.345, 3.476, 5.375], [-4.289, -4.566, 1.880], [5.022, -3.317, 3.402]],
  "species": ["Sb", "Ba", "Ti", "I", "I"],
  "fractional_positions": [[0.000, 0.000, 0.500], [0.000, 0.000, 0.000], [0.500, 0.500, 0.500], [0.000, 0.500, 0.000], [0.500, 0.000, 0.000]]
}

***

The winner here is a, beating the second structure by 1067 meV/atom.

***

a:
{
  "formula": "BaTlSb2I",
  "functional": "PBE",
  "state": "optimized geometry",
  "magmom_total_mub_per_atom": 0.368,
  "spacegroup": "P4/mmm, No. 123",
  "lattice": [[6.531, 0.000, 0.000], [0.000, 6.531, 0.000], [0.000, 0.000, 6.652]],
  "species": ["I", "Ba", "Sb", "Sb", "Tl"],
  "fractional_positions": [[0.000, 0.000, 0.500], [0.000, 0.000, 0.000], [0.500, 0.000, 0.000], [0.000, 0.500, 0.000], [0.500, 0.500, 0.500]]
}

***

b:
{
  "formula": "BaTlSb2I",
  "functional": "PBE",
  "state": "optimized geometry",
  "magmom_total_mub_per_atom": 0.000,
  "spacegroup": "P4/mmm, No. 123",
  "lattice": [[-4.798, -2.935, 0.570], [2.093, -4.067, -3.322], [2.483, -3.035, 5.280]],
  "species": ["Sb", "Sb", "Tl", "Ba", "I"],
  "fractional_positions": [[0.500, 0.000, 0.000], [0.000, 0.500, 0.000], [0.000, 0.000, 0.000], [0.500, 0.500, 0.500], [0.000, 0.000, 0.500]]
}

***

The winner here is b, beating the second structure by 377 meV/atom.